VASP calculation (PBE) on an optimized crystal structure of In2PS2.

The structure belongs to space group I4/mmm (No. 139); the cell edges are 5.286, 5.286 and 8.329 Å and the angles 90.00°, 90.00° and 90.00°. Symmetry generates all atoms from In at (0.000, 0.000, 0.173), P at (0.000, 0.000, 0.500) and S at (0.000, 0.500, 0.250).

Its distance to the lowest polymorph of the same formula is 97 meV per atom. The calculation puts the total energy at -3.566 eV/atom. Its formation energy without anion corrections is 0.263 eV per atom. The density of states at the Fermi level is 6.420 states/eV per cell.